Compound: Hf2NiIr2
Source: Alexandria via LeMat-Bulk
Functional: GGA-PBE
Structure: optimized geometry

Unit cell a=6.6903 b=6.6903 c=3.8814 alpha=90.00 beta=90.00 gamma=90.00
Closest atoms and distances in Å follow each position.
Positions (direct):
Hf (0.1722, 0.3278, 0.0000)  6 Ir 2.64-2.85
Hf (0.3278, 0.8278, 0.0000)  6 Ir 2.64-2.85
Hf (0.6722, 0.1722, 0.0000)  6 Ir 2.64-2.85
Hf (0.8278, 0.6722, 0.0000)  6 Ir 2.64-2.85
Ni (0.0000, 0.0000, 0.5000)  4 Ir 2.59
Ni (0.5000, 0.5000, 0.5000)  4 Ir 2.59
Ir (0.1385, 0.6385, 0.5000)  2 Ni 2.59, 1 Ir 2.62, 6 Hf 2.64-2.85
Ir (0.3615, 0.1385, 0.5000)  2 Ni 2.59, 1 Ir 2.62, 6 Hf 2.64-2.85
Ir (0.6385, 0.8615, 0.5000)  2 Ni 2.59, 1 Ir 2.62, 6 Hf 2.64-2.85
Ir (0.8615, 0.3615, 0.5000)  2 Ni 2.59, 1 Ir 2.62, 6 Hf 2.64-2.85

## Properties
* SG: P4/mbm, No. 127
* offset from the most stable computed form: 0.0 meV per atom
* ΔE_f: -272 kJ/mol of formula units


Compound: HfNiIr3
Source: Alexandria via LeMat-Bulk
Functional: GGA-PBE
Structure: optimized geometry

Unit cell a=4.4468 b=4.4468 c=4.4468 alpha=90.00 beta=90.00 gamma=90.00
Closest atoms and distances in Å follow each position.
Positions (direct):
Hf (0.0000, 0.0000, 0.0000)  12 Ir 3.14
Ni (0.5000, 0.5000, 0.5000)  6 Ir 2.22
Ir (0.0000, 0.5000, 0.5000)  2 Ni 2.22
Ir (0.5000, 0.0000, 0.5000)  2 Ni 2.22
Ir (0.5000, 0.5000, 0.0000)  2 Ni 2.22

## Properties
* SG: Pm-3m, No. 221
* offset from the most stable computed form: 0.0 meV per atom
* ΔE_f: 357 kJ/mol of formula units


Compound: Hf2NiIr2
Source: Alexandria via LeMat-Bulk
Functional: GGA-PBE
Structure: optimized geometry

Unit cell a=6.1641 b=6.1641 c=6.1641 alpha=138.17 beta=138.17 gamma=60.64
Closest atoms and distances in Å follow each position.
Positions (direct):
Hf (0.2500, 0.7500, 0.5000)  4 Ir 2.62
Hf (0.7500, 0.2500, 0.5000)  4 Ir 2.62
Ni (0.0000, 0.0000, 0.0000)  8 Ir 3.35, 8 Hf 3.45
Ir (0.3835, 0.3835, 0.0000)  1 Ir 2.48, 4 Hf 2.62
Ir (0.6165, 0.6165, 0.0000)  1 Ir 2.48, 4 Hf 2.62

## Properties
* SG: I4/mmm, No. 139
* offset from the most stable computed form: 452.5 meV per atom
* ΔE_f: -54 kJ/mol of formula units


Compound: HfNi3Ir
Source: Alexandria via LeMat-Bulk
Functional: GGA-PBE
Structure: optimized geometry

Unit cell a=4.3953 b=4.3953 c=4.3953 alpha=90.00 beta=90.00 gamma=90.00
Closest atoms and distances in Å follow each position.
Positions (direct):
Hf (0.0000, 0.0000, 0.0000)  6 Ni 2.20
Ni (0.0000, 0.0000, 0.5000)  2 Hf 2.20
Ni (0.0000, 0.5000, 0.0000)  2 Hf 2.20
Ni (0.5000, 0.0000, 0.0000)  2 Hf 2.20
Ir (0.5000, 0.5000, 0.5000)  12 Ni 3.11

## Properties
* SG: Pm-3m, No. 221
* ΔE_f: 685 kJ/mol of formula units


Compound: Hf6NiIr5
Source: Alexandria via LeMat-Bulk
Functional: GGA-PBE
Structure: optimized geometry

Unit cell a=7.9740 b=7.9740 c=4.5779 alpha=106.62 beta=106.62 gamma=49.12
Closest atoms and distances in Å follow each position.
Positions (direct):
Hf (0.0804, 0.5915, 0.3357)  1 Ni 2.78, 7 Ir 2.78-2.89
Hf (0.2408, 0.7592, 0.0000)  2 Ni 2.79, 6 Ir 2.81-2.90
Hf (0.4085, 0.9196, 0.6643)  1 Ni 2.78, 7 Ir 2.78-2.89
Hf (0.5915, 0.0804, 0.3357)  1 Ni 2.78, 7 Ir 2.78-2.89
Hf (0.7592, 0.2408, 0.0000)  2 Ni 2.79, 6 Ir 2.81-2.90
Hf (0.9196, 0.4085, 0.6643)  1 Ni 2.78, 7 Ir 2.78-2.89
Ni (0.0000, 0.0000, 0.5000)  8 Hf 2.78-2.79
Ir (0.1757, 0.1757, 0.1758)  8 Hf 2.78-2.90
Ir (0.3383, 0.3383, 0.8377)  8 Hf 2.81-2.89
Ir (0.5000, 0.5000, 0.5000)  8 Hf 2.82-2.86
Ir (0.6617, 0.6617, 0.1623)  8 Hf 2.81-2.89
Ir (0.8243, 0.8243, 0.8242)  8 Hf 2.78-2.90

## Properties
* SG: C2/m, No. 12
* ΔE_f: -979 kJ/mol of formula units


Compound: HfPaNiIr
Source: Alexandria via LeMat-Bulk
Functional: GGA-PBE
Structure: optimized geometry

Unit cell a=4.7278 b=4.7278 c=4.7278 alpha=60.00 beta=60.00 gamma=60.00
Closest atoms and distances in Å follow each position.
Positions (direct):
Hf (0.0000, 0.0000, 0.0000)  4 Ni 2.90, 4 Ir 2.90
Pa (0.5000, 0.5000, 0.5000)  4 Ni 2.90, 4 Ir 2.90
Ni (0.2500, 0.2500, 0.2500)  4 Pa 2.90, 4 Hf 2.90
Ir (0.7500, 0.7500, 0.7500)  4 Pa 2.90, 4 Hf 2.90

## Properties
* SG: F-43m, No. 216
* ΔE_f: -181 kJ/mol of formula units


Q: Which VASP energy values were calculated for the entries above? A: -0.3398 -0.2838 -0.3231 -0.2136 -0.3674 -0.3305, in Ha/atom.
Q: Which total magnetization values were calculated for the entries above? A: 0.00 1.92 0.38 0.00 0.00 0.01, in μB per formula unit.